The following is a DFT calculation (GGA-PBE) of Dy2Hg2Au after structural relaxation.

## Properties
**Formation energy from the elements**: -2.48 eV/f.u.
**Relative energy among the computed polymorphs**: 0 meV/atom
**Final energy**: -15.6 eV/f.u.
**Total magnetic moment**: 0.00 μB/f.u.

Unit cell a=10.1598 b=10.1598 c=3.4671 alpha=90.00 beta=90.00 gamma=159.47
Fractional positions:
Dy  0.0922  0.9078  0.0000
Dy  0.9078  0.0922  0.0000
Hg  0.3083  0.6917  0.5000
Hg  0.6917  0.3083  0.5000
Au  0.5000  0.5000  0.5000

---

The following is a DFT calculation (GGA-PBE) of CePrDyY after structural relaxation.

## Properties
**Formation energy from the elements**: 0.67 eV/f.u.
**Final energy**: -21.1 eV/f.u.
**Total magnetic moment**: 0.85 μB/f.u.

Unit cell a=5.7232 b=5.7232 c=5.7232 alpha=60.00 beta=60.00 gamma=60.00
Fractional positions:
Ce  0.0000  0.0000  0.0000
Pr  0.5000  0.5000  0.5000
Dy  0.2500  0.2500  0.2500
Y  0.7500  0.7500  0.7500

---

The following is a DFT calculation (GGA-PBE) of Zn2BrO after structural relaxation.

## Properties
**Energy relative to the elements, uncorrected**: -0.713 eV/atom
**Relative energy among the computed polymorphs**: 0 meV/atom
**Final energy**: -12.0 eV/f.u.
**Total magnetic moment**: 0.00 μB/f.u.

Unit cell a=6.5423 b=6.5423 c=6.5423 alpha=130.34 beta=130.34 gamma=72.87
Fractional positions:
Zn  0.0071  0.6250  0.8821
Zn  0.3750  0.2571  0.3821
Zn  0.7429  0.1250  0.1179
Zn  0.8750  0.9929  0.6179
Br  0.2500  0.7500  0.5000
Br  0.5000  0.5000  0.0000
O  0.0000  0.0000  0.0000
O  0.7500  0.2500  0.5000

---

The following is a DFT calculation (GGA-PBE) of RbZnCd2Au after structural relaxation.

## Properties
**Formation energy from the elements**: -0.42 eV/f.u.
**Relative energy among the computed polymorphs**: 0 meV/atom
**Final energy**: -7.8 eV/f.u.
**Total magnetic moment**: 0.00 μB/f.u.

Unit cell a=5.4289 b=5.4289 c=5.0762 alpha=90.00 beta=90.00 gamma=90.00
Fractional positions:
Rb  0.0000  0.0000  0.0000
Zn  0.5000  0.5000  0.0000
Cd  0.0000  0.5000  0.5000
Cd  0.5000  0.0000  0.5000
Au  0.5000  0.5000  0.5000